VASP calculation (PBE-GGA) on an optimized crystal structure of AgHgOs.

```
data_AgHgOs
_chemical_formula_sum 'Ag4 Hg4 Os4'
_space_group_name_H-M_alt 'F m m 2'
_space_group_IT_number 42
_space_group_name_Hall 'F 2 -2'
_cell_length_a 2.8987
_cell_length_b 4.8688
_cell_length_c 14.9912
_cell_angle_alpha 90.00
_cell_angle_beta 90.00
_cell_angle_gamma 90.00
loop_
_atom_site_label
_atom_site_type_symbol
_atom_site_fract_x
_atom_site_fract_y
_atom_site_fract_z
Ag1 Ag 0.0000 0.0000 0.0000
Hg1 Hg 0.0000 0.0000 0.6728
Os1 Os 0.0000 0.0000 0.3393
```

## Properties
calculated volume: 211.6 Å³/cell
energy relative to the elements: 0.73 eV per atom

---

VASP calculation (PBE-GGA) on an optimized crystal structure of AgHgOs2.

```
data_AgHgOs2
_chemical_formula_sum 'Ag1 Hg1 Os2'
_space_group_name_H-M_alt 'P m m m'
_space_group_IT_number 47
_space_group_name_Hall '-P 2 2'
_cell_length_a 2.7930
_cell_length_b 4.7987
_cell_length_c 4.9948
_cell_angle_alpha 90.00
_cell_angle_beta 90.00
_cell_angle_gamma 90.00
loop_
_atom_site_label
_atom_site_type_symbol
_atom_site_fract_x
_atom_site_fract_y
_atom_site_fract_z
Ag1 Ag 0.0000 0.0000 0.0000
Hg1 Hg 0.5000 0.5000 0.0000
Os1 Os 0.0000 0.5000 0.5000
Os2 Os 0.5000 0.0000 0.5000
```

## Properties
calculated volume: 66.9 Å³/cell
energy relative to the elements: 0.89 eV per atom

---

VASP calculation (PBE-GGA) on an optimized crystal structure of AgHgOs2.

```
data_AgHgOs2
_chemical_formula_sum 'Ag2 Hg2 Os4'
_space_group_name_H-M_alt 'C 1 2/m 1'
_space_group_IT_number 12
_space_group_name_Hall '-C 2y'
_cell_length_a 9.7381
_cell_length_b 2.8223
_cell_length_c 4.8730
_cell_angle_alpha 90.00
_cell_angle_beta 99.90
_cell_angle_gamma 90.00
loop_
_atom_site_label
_atom_site_type_symbol
_atom_site_fract_x
_atom_site_fract_y
_atom_site_fract_z
Ag1 Ag 0.0000 0.0000 0.0000
Hg1 Hg 0.0000 0.5000 0.5000
Os1 Os 0.2504 0.0000 0.7672
```

## Properties
calculated volume: 131.9 Å³/cell
energy relative to the elements: 0.85 eV per atom

---

VASP calculation (PBE-GGA) on an optimized crystal structure of AgHgOs2.

```
data_AgHgOs2
_chemical_formula_sum 'Ag1 Hg1 Os2'
_space_group_name_H-M_alt 'P 1 m 1'
_space_group_IT_number 6
_space_group_name_Hall 'P -2y'
_cell_length_a 2.8214
_cell_length_b 3.6503
_cell_length_c 6.7315
_cell_angle_alpha 90.00
_cell_angle_beta 90.12
_cell_angle_gamma 90.00
loop_
_atom_site_label
_atom_site_type_symbol
_atom_site_fract_x
_atom_site_fract_y
_atom_site_fract_z
Ag1 Ag 0.0000 0.0000 0.0000
Hg1 Hg 0.5016 0.5000 0.7281
Os1 Os 0.0019 0.0000 0.4370
Os2 Os 0.5013 0.5000 0.2693
```

## Properties
calculated volume: 69.3 Å³/cell
energy relative to the elements: 0.54 eV per atom

---

Number 1: DOS(E_F) 0.841 states/eV/atom. Number 2: DOS(E_F) 1.257 states/eV/atom. Number 3: DOS(E_F) 1.325 states/eV/atom. Number 4: DOS(E_F) 0.507 states/eV/atom.